VASP calculation (PBE) on a relaxed structure of SrCu2Si2.

- Total DFT energy (no corrections): -4.345 eV/atom

Cell lengths 4.1450, 4.1450, 10.0059 Å; angles 90.00, 90.00, 90.00 degrees
Closest atoms and distances in Å follow each position.
Space group I4/mmm (No. 139)
Asymmetric unit:
Sr 0.0000 0.0000 0.0000 x2  8 Si 3.18, 8 Cu 3.25
Cu 0.0000 0.5000 0.2500 x4  4 Si 2.43
Si 0.0000 0.0000 0.3778 x4  4 Cu 2.43, 1 Si 2.45

***

VASP calculation (PBE) on a relaxed structure of SrCu9Si4.

- Total DFT energy (no corrections): -4.277 eV/atom

Cell lengths 8.1317, 8.1317, 11.6023 Å; angles 90.00, 90.00, 90.00 degrees
Closest atoms and distances in Å follow each position.
Space group I4/mcm (No. 140)
Asymmetric unit:
Sr 0.0000 0.0000 0.2500 x4  16 Cu 3.31-3.38, 8 Si 3.38
Cu 0.0000 0.5000 0.0000 x4  4 Si 2.43, 8 Cu 2.47-2.55
Cu 0.0636 0.2034 0.0000 x16  6 Cu 2.45-2.68, 4 Si 2.52-2.56
Cu 0.1239 0.3761 0.1825 x16  4 Si 2.41-2.59, 5 Cu 2.55-2.59
Si 0.1762 0.3238 0.3837 x16  9 Cu 2.41-2.59, 1 Si 2.70

***

VASP calculation (PBE) on a relaxed structure of SrYCuSi3.

- Total DFT energy (no corrections): -5.259 eV/atom

Cell lengths 8.1413, 8.6357, 14.0033 Å; angles 90.00, 90.00, 90.00 degrees
Closest atoms and distances in Å follow each position.
Space group Fmmm (No. 69)
Asymmetric unit:
Sr 0.0000 0.2463 0.0000 x8  10 Si 3.20-3.21, 2 Cu 3.21
Y 0.2500 0.2500 0.2500 x8  8 Si 3.14-3.17, 4 Cu 3.18
Cu 0.0000 0.0000 0.3325 x8  3 Si 2.26-2.30
Si 0.0000 0.0000 0.1711 x8  1 Cu 2.26, 2 Si 2.37
Si 0.2467 0.0000 0.4126 x16  1 Cu 2.30, 2 Si 2.37-2.45

***

VASP calculation (PBE) on a relaxed structure of SrZnCuSi2.

- Total DFT energy (no corrections): -3.849 eV/atom

Cell lengths 4.2270, 4.2270, 10.1994 Å; angles 90.00, 90.00, 90.00 degrees
Closest atoms and distances in Å follow each position.
Space group I-4m2 (No. 119)
Asymmetric unit:
Sr 0.0000 0.0000 0.0000 x2  8 Si 3.22, 4 Cu 3.31, 4 Zn 3.31
Zn 0.0000 0.5000 0.7500 x2  4 Si 2.51
Cu 0.0000 0.5000 0.2500 x2  4 Si 2.51
Si 0.0000 0.0000 0.3824 x4  1 Si 2.40, 2 Cu 2.51, 2 Zn 2.51

***

VASP calculation (PBE) on a relaxed structure of TaCu2Si.

- Total DFT energy (no corrections): -6.083 eV/atom

Cell lengths 6.0454, 6.0454, 6.0454 Å; angles 90.00, 90.00, 90.00 degrees
Closest atoms and distances in Å follow each position.
Space group F-43m (No. 216)
Asymmetric unit:
Ta 0.0000 0.0000 0.0000 x4  4 Cu 2.62, 4 Si 2.62
Cu 0.0000 0.0000 0.5000 x4  4 Cu 2.62, 4 Si 2.62
Cu 0.2500 0.2500 0.7500 x4  4 Ta 2.62, 4 Cu 2.62
Si 0.2500 0.2500 0.2500 x4  4 Cu 2.62, 4 Ta 2.62

***

VASP calculation (PBE) on a relaxed structure of Ta3CuSi5.

- Total DFT energy (no corrections): -7.064 eV/atom

Cell lengths 5.5317, 5.5317, 6.4647 Å; angles 90.00, 90.00, 120.00 degrees
Closest atoms and distances in Å follow each position.
Space group P6/mmm (No. 191)
Asymmetric unit:
Ta 0.0000 0.5000 0.0000 x3  6 Si 2.63-2.77, 4 Ta 2.77
Cu 0.0000 0.0000 0.5000 x1  14 Si 3.23-3.39
Si 0.0000 0.0000 0.0000 x1  6 Ta 2.77
Si 0.3333 0.6667 0.3233 x4  1 Si 2.28

***

VASP calculation (PBE) on a relaxed structure of TaCuSiW.

- Relative energy among the computed polymorphs: 0 meV per atom

Cell lengths 6.2025, 6.2025, 6.2025 Å; angles 90.00, 90.00, 90.00 degrees
Closest atoms and distances in Å follow each position.
Space group F-43m (No. 216)
Asymmetric unit:
Ta 0.0000 0.0000 0.0000 x4  4 W 2.69, 4 Cu 2.69
Cu 0.2500 0.2500 0.7500 x4  4 Ta 2.69, 4 Si 2.69
Si 0.0000 0.0000 0.5000 x4  4 W 2.69, 4 Cu 2.69
W 0.2500 0.2500 0.2500 x4  4 Ta 2.69, 4 Si 2.69

***

VASP calculation (PBE) on a relaxed structure of YTaCuSi.

- Relative energy among the computed polymorphs: 0 meV per atom

Cell lengths 6.5477, 6.5477, 6.5477 Å; angles 90.00, 90.00, 90.00 degrees
Closest atoms and distances in Å follow each position.
Space group F-43m (No. 216)
Asymmetric unit:
Y 0.0000 0.0000 0.0000 x4  4 Ta 2.84, 4 Cu 2.84
Ta 0.2500 0.2500 0.2500 x4  4 Si 2.84, 4 Y 2.84
Cu 0.2500 0.2500 0.7500 x4  4 Si 2.84, 4 Y 2.84
Si 0.0000 0.0000 0.5000 x4  4 Cu 2.84, 4 Ta 2.84